Record 1
Entry from Alexandria: an optimized crystal structure of La3CoWS3O6 (PBEsol).

```
28
Lattice="5.476 0.000 0.000 0.000 9.273 0.000 0.000 -4.637 8.031" Properties=species:S:1:pos:R:3 pbc="T T T"
S 4.107 -0.560 1.707
S 1.369 5.197 6.323
S 4.107 -2.878 7.662
S 1.369 1.199 1.339
S 4.107 3.438 6.692
S 1.369 7.514 0.369
W 4.107 0.000 5.354
W 1.369 4.637 2.677
O 2.615 3.704 3.830
O 0.123 3.704 3.830
O 2.615 6.102 2.908
O 5.353 0.933 4.201
O 5.353 -1.465 5.123
O 0.123 6.102 2.908
O 2.861 0.933 4.201
O 0.123 4.104 1.293
O 2.861 -1.465 5.123
O 2.615 4.104 1.293
O 5.353 0.532 6.738
O 2.861 0.532 6.738
La 4.107 2.297 2.512
La 4.107 5.663 4.785
La 1.369 -1.027 3.245
La 1.369 -1.313 7.297
La 1.369 2.339 5.519
La 4.107 5.949 0.734
Co 2.738 0.000 0.000
Co 0.000 0.000 0.000
```

Output
- raw formation energy (kJ per mole of atoms) = -240.24
- SG = No. 176
- calculated volume (Å³/atom) = 14.56
- DFT total energy (eV/atom) = -8.3636

Record 2
Entry from Alexandria: an optimized crystal structure of LaSmCo2O6 (PBEsol).

```
40
Lattice="7.547 0.000 0.000 0.000 7.547 0.000 0.000 0.000 7.451" Properties=species:S:1:pos:R:3 pbc="T T T"
O 5.425 5.425 3.725
O 0.000 1.930 5.333
O 1.646 5.900 0.000
O 5.617 0.000 5.333
O 0.000 5.617 5.333
O 5.425 2.122 3.725
O 0.000 5.617 2.118
O 5.617 0.000 2.118
O 0.000 1.930 2.118
O 2.122 2.122 3.725
O 1.876 3.773 1.657
O 1.930 0.000 5.333
O 3.773 1.876 1.657
O 3.773 5.671 1.657
O 5.900 5.900 0.000
O 1.646 1.646 0.000
O 5.671 3.773 5.793
O 2.122 5.425 3.725
O 3.773 5.671 5.793
O 1.930 0.000 2.118
O 5.900 1.646 0.000
O 3.773 1.876 5.793
O 5.671 3.773 1.657
O 1.876 3.773 5.793
La 0.000 3.773 0.000
La 0.000 0.000 3.725
La 3.773 3.773 0.000
La 3.773 0.000 0.000
Co 1.884 1.884 1.870
Co 1.884 5.663 5.581
Co 5.663 1.884 5.581
Co 1.884 1.884 5.581
Co 5.663 5.663 1.870
Co 5.663 5.663 5.581
Co 1.884 5.663 1.870
Co 5.663 1.884 1.870
Sm 0.000 0.000 0.000
Sm 3.773 3.773 3.725
Sm 0.000 3.773 3.725
Sm 3.773 0.000 3.725
```

Output
- raw formation energy (kJ per mole of atoms) = -216.35
- SG = No. 123
- calculated volume (Å³/atom) = 10.61
- DFT total energy (eV/atom) = -7.9831

Record 3
Entry from Alexandria: an optimized crystal structure of Sr3LaCo2O8 (PBEsol).

```
14
Lattice="5.308 0.000 0.000 0.000 5.313 0.000 0.000 -2.656 6.165" Properties=species:S:1:pos:R:3 pbc="T T T"
Sr 2.654 0.000 1.771
Sr 0.000 0.000 4.396
Sr 0.000 2.656 1.733
O 0.000 2.656 4.198
O 2.654 2.656 2.039
O 1.347 1.345 6.128
O 3.961 1.345 6.128
O 3.961 -1.345 6.128
O 1.347 -1.345 6.128
O 2.654 0.000 4.224
O 0.000 0.000 1.941
Co 0.000 0.000 0.030
Co 2.654 2.656 0.031
La 2.654 2.656 4.439
```

Output
- raw formation energy (kJ per mole of atoms) = -222.21
- SG = No. 38
- calculated volume (Å³/atom) = 12.42
- DFT total energy (eV/atom) = -7.1842

calculated volume of number 3 (Sr3LaCo2O8)? 12.42 Å³/atom